Entry 1:
Compound: Ho2CuTe3
Source: OQMD via LeMat-Bulk
Functional: GGA-PBE
Structure: optimized geometry

VASP energy: -112.8 eV for the cell shown
V: 26.9 Å³ per atom
Space-group type: Pnma

Structure (CIF):
```
data_Ho2CuTe3
_cell_length_a 11.014
_cell_length_b 4.113
_cell_length_c 14.226
_cell_angle_alpha 90.00
_cell_angle_beta 90.00
_cell_angle_gamma 90.00
_space_group_name_H-M_alt 'P 1'
_space_group_IT_number 1
loop_
_space_group_symop_operation_xyz
'x,y,z'
loop_
_atom_site_label
_atom_site_type_symbol
_atom_site_fract_x
_atom_site_fract_y
_atom_site_fract_z
_atom_site_occupancy
Ho1 Ho 0.018 0.250 0.246 1
Ho2 Ho 0.225 0.750 0.520 1
Ho3 Ho 0.275 0.250 0.020 1
Ho4 Ho 0.482 0.750 0.746 1
Ho5 Ho 0.518 0.250 0.254 1
Ho6 Ho 0.725 0.750 0.980 1
Ho7 Ho 0.775 0.250 0.480 1
Ho8 Ho 0.982 0.750 0.754 1
Cu1 Cu 0.237 0.250 0.723 1
Cu2 Cu 0.263 0.750 0.223 1
Cu3 Cu 0.737 0.250 0.777 1
Cu4 Cu 0.763 0.750 0.277 1
Te1 Te 0.047 0.250 0.604 1
Te2 Te 0.089 0.750 0.098 1
Te3 Te 0.234 0.750 0.848 1
Te4 Te 0.266 0.250 0.348 1
Te5 Te 0.411 0.250 0.598 1
Te6 Te 0.453 0.750 0.104 1
Te7 Te 0.547 0.250 0.896 1
Te8 Te 0.589 0.750 0.402 1
Te9 Te 0.734 0.750 0.652 1
Te10 Te 0.766 0.250 0.152 1
Te11 Te 0.911 0.250 0.902 1
Te12 Te 0.953 0.750 0.396 1
```

=====

Entry 2:
Compound: La2NdNiIr2Pb3
Source: OQMD via LeMat-Bulk
Functional: GGA-PBE
Structure: optimized geometry

VASP energy: -53.9 eV for the cell shown
V: 23.7 Å³ per atom
Space-group type: Amm2

Structure (CIF):
```
data_La2NdNiIr2Pb3
_cell_length_a 4.092
_cell_length_b 7.779
_cell_length_c 7.779
_cell_angle_alpha 120.36
_cell_angle_beta 90.00
_cell_angle_gamma 90.00
_space_group_name_H-M_alt 'P 1'
_space_group_IT_number 1
loop_
_space_group_symop_operation_xyz
'x,y,z'
loop_
_atom_site_label
_atom_site_type_symbol
_atom_site_fract_x
_atom_site_fract_y
_atom_site_fract_z
_atom_site_occupancy
La1 La 0.000 0.208 0.792 1
La2 La 0.000 0.792 0.208 1
Nd1 Nd 0.000 0.379 0.379 1
Ni1 Ni 0.000 0.790 0.790 1
Ir1 Ir 0.500 0.121 0.458 1
Ir2 Ir 0.500 0.458 0.121 1
Pb1 Pb 0.500 0.042 0.042 1
Pb2 Pb 0.500 0.543 0.789 1
Pb3 Pb 0.500 0.789 0.543 1
```

=====

Entry 3:
Compound: ScOs2Au
Source: OQMD via LeMat-Bulk
Functional: GGA-PBE
Structure: optimized geometry

Formation energy from the elements: 197 meV/atom
V: 16.3 Å³ per atom
Space-group type: F-43m

Structure (CIF):
```
data_ScOs2Au
_cell_length_a 4.519
_cell_length_b 4.519
_cell_length_c 4.519
_cell_angle_alpha 60.00
_cell_angle_beta 60.00
_cell_angle_gamma 60.00
_space_group_name_H-M_alt 'P 1'
_space_group_IT_number 1
loop_
_space_group_symop_operation_xyz
'x,y,z'
loop_
_atom_site_label
_atom_site_type_symbol
_atom_site_fract_x
_atom_site_fract_y
_atom_site_fract_z
_atom_site_occupancy
Sc1 Sc 0.000 0.000 0.000 1
Os1 Os 0.500 0.500 0.500 1
Os2 Os 0.750 0.750 0.750 1
Au1 Au 0.250 0.250 0.250 1
```

=====

Entry 4:
Compound: LuTlAgAu
Source: OQMD via LeMat-Bulk
Functional: GGA-PBE
Structure: optimized geometry

Energy relative to the lowest polymorph listed for this composition: 0.1138 eV per atom
V: 21.1 Å³ per atom
Space-group type: F-43m

Structure (CIF):
```
data_LuTlAgAu
_cell_length_a 4.923
_cell_length_b 4.923
_cell_length_c 4.923
_cell_angle_alpha 60.00
_cell_angle_beta 60.00
_cell_angle_gamma 60.00
_space_group_name_H-M_alt 'P 1'
_space_group_IT_number 1
loop_
_space_group_symop_operation_xyz
'x,y,z'
loop_
_atom_site_label
_atom_site_type_symbol
_atom_site_fract_x
_atom_site_fract_y
_atom_site_fract_z
_atom_site_occupancy
Lu1 Lu 0.000 0.000 0.000 1
Tl1 Tl 0.750 0.750 0.750 1
Ag1 Ag 0.250 0.250 0.250 1
Au1 Au 0.500 0.500 0.500 1
```

=====

Entry 5:
Compound: SmDy2Sn4Pd4
Source: OQMD via LeMat-Bulk
Functional: GGA-PBE
Structure: optimized geometry

VASP energy: -59.8 eV for the cell shown
V: 21.9 Å³ per atom
Space-group type: Immm

Structure (CIF):
```
data_SmDy2Sn4Pd4
_cell_length_a 8.534
_cell_length_b 8.534
_cell_length_c 8.534
_cell_angle_alpha 150.04
_cell_angle_beta 128.40
_cell_angle_gamma 60.83
_space_group_name_H-M_alt 'P 1'
_space_group_IT_number 1
loop_
_space_group_symop_operation_xyz
'x,y,z'
loop_
_atom_site_label
_atom_site_type_symbol
_atom_site_fract_x
_atom_site_fract_y
_atom_site_fract_z
_atom_site_occupancy
Sm1 Sm 0.000 0.000 0.000 1
Dy1 Dy 0.370 0.870 0.500 1
Dy2 Dy 0.630 0.130 0.500 1
Sn1 Sn 0.215 0.215 0.000 1
Sn2 Sn 0.304 0.500 0.804 1
Sn3 Sn 0.696 0.500 0.196 1
Sn4 Sn 0.785 0.785 0.000 1
Pd1 Pd 0.024 0.322 0.702 1
Pd2 Pd 0.380 0.678 0.702 1
Pd3 Pd 0.620 0.322 0.298 1
Pd4 Pd 0.976 0.678 0.298 1
```

=====

Entry 6:
Compound: AlZnCdCu
Source: OQMD via LeMat-Bulk
Functional: GGA-PBE
Structure: optimized geometry

Energy relative to the lowest polymorph listed for this composition: 0.0000 eV per atom
V: 16.2 Å³ per atom
Space-group type: F-43m

Structure (CIF):
```
data_AlZnCdCu
_cell_length_a 4.507
_cell_length_b 4.507
_cell_length_c 4.507
_cell_angle_alpha 60.00
_cell_angle_beta 60.00
_cell_angle_gamma 60.00
_space_group_name_H-M_alt 'P 1'
_space_group_IT_number 1
loop_
_space_group_symop_operation_xyz
'x,y,z'
loop_
_atom_site_label
_atom_site_type_symbol
_atom_site_fract_x
_atom_site_fract_y
_atom_site_fract_z
_atom_site_occupancy
Al1 Al 0.000 0.000 0.000 1
Zn1 Zn 0.750 0.750 0.750 1
Cd1 Cd 0.500 0.500 0.500 1
Cu1 Cu 0.250 0.250 0.250 1
```

=====

Entry 7:
Compound: LiTbTe3Pb
Source: OQMD via LeMat-Bulk
Functional: GGA-PBE
Structure: optimized geometry

Energy relative to the lowest polymorph listed for this composition: 0.0000 eV per atom
V: 31.2 Å³ per atom
Space-group type: C2/m

Structure (CIF):
```
data_LiTbTe3Pb
_cell_length_a 9.777
_cell_length_b 9.777
_cell_length_c 9.263
_cell_angle_alpha 103.17
_cell_angle_beta 103.17
_cell_angle_gamma 25.80
_space_group_name_H-M_alt 'P 1'
_space_group_IT_number 1
loop_
_space_group_symop_operation_xyz
'x,y,z'
loop_
_atom_site_label
_atom_site_type_symbol
_atom_site_fract_x
_atom_site_fract_y
_atom_site_fract_z
_atom_site_occupancy
Li1 Li 0.003 0.003 0.198 1
Li2 Li 0.997 0.997 0.802 1
Tb1 Tb 0.334 0.334 0.912 1
Tb2 Tb 0.666 0.666 0.088 1
Te1 Te 0.000 0.000 0.500 1
Te2 Te 0.168 0.168 0.852 1
Te3 Te 0.179 0.179 0.327 1
Te4 Te 0.500 0.500 0.000 1
Te5 Te 0.821 0.821 0.673 1
Te6 Te 0.832 0.832 0.148 1
Pb1 Pb 0.367 0.367 0.436 1
Pb2 Pb 0.633 0.633 0.564 1
```

=====

Entry 8:
Compound: Pr3NdAs2Br2
Source: OQMD via LeMat-Bulk
Functional: GGA-PBE
Structure: optimized geometry

VASP energy: -43.3 eV for the cell shown
V: 28.9 Å³ per atom
Space-group type: P3m1

Structure (CIF):
```
data_Pr3NdAs2Br2
_cell_length_a 4.227
_cell_length_b 4.227
_cell_length_c 14.925
_cell_angle_alpha 90.00
_cell_angle_beta 90.00
_cell_angle_gamma 120.00
_space_group_name_H-M_alt 'P 1'
_space_group_IT_number 1
loop_
_space_group_symop_operation_xyz
'x,y,z'
loop_
_atom_site_label
_atom_site_type_symbol
_atom_site_fract_x
_atom_site_fract_y
_atom_site_fract_z
_atom_site_occupancy
Pr1 Pr 0.000 0.000 0.000 1
Pr2 Pr 0.000 0.000 0.290 1
Pr3 Pr 0.333 0.667 0.788 1
Nd1 Nd 0.333 0.667 0.500 1
As1 As 0.667 0.333 0.396 1
As2 As 0.667 0.333 0.894 1
Br1 Br 0.000 0.000 0.642 1
Br2 Br 0.333 0.667 0.145 1
```